Entry 1:
Below is a geometry-optimized AgB4Ir structure, with properties calculated at the GGA-PBE level.

Values from the calculation:
Crystal system: orthorhombic
Size of the total moment (μB per formula unit): 0.01

The structure in POSCAR format:
```
AgB4Ir
1.0
-1.529 2.642 3.601
1.529 -2.642 3.601
1.529 2.642 -3.601
Ag B Ir
1 4 1
Direct
0.000 0.000 0.000
0.091 0.749 0.342
0.407 0.749 0.658
0.593 0.251 0.342
0.909 0.251 0.658
0.500 0.500 0.000
```

---

Entry 2:
Below is a geometry-optimized AgB2Ir structure, with properties calculated at the GGA-PBE level.

Values from the calculation:
Crystal system: cubic
Size of the total moment (μB per formula unit): 0.00

The structure in POSCAR format:
```
AgB2Ir
1.0
0.000 2.911 2.911
2.911 0.000 2.911
2.911 2.911 0.000
Ag B Ir
1 2 1
Direct
0.000 0.000 0.000
0.250 0.250 0.250
0.500 0.500 0.500
0.750 0.750 0.750
```

---

Entry 3:
Below is a geometry-optimized Ag2BIr structure, with properties calculated at the GGA-PBE level.

Values from the calculation:
Crystal system: cubic
Size of the total moment (μB per formula unit): 0.00

The structure in POSCAR format:
```
Ag2BIr
1.0
0.000 3.053 3.053
3.053 0.000 3.053
3.053 3.053 0.000
Ag B Ir
2 1 1
Direct
0.000 0.000 0.000
0.250 0.250 0.250
0.500 0.500 0.500
0.750 0.750 0.750
```

---

Entry 4:
Below is a geometry-optimized AgB4Ir structure, with properties calculated at the GGA-PBE level.

Values from the calculation:
Crystal system: hexagonal
Size of the total moment (μB per formula unit): 0.02

The structure in POSCAR format:
```
AgB4Ir
1.0
3.030 0.000 0.000
-1.515 2.624 0.000
0.000 0.000 7.599
Ag B Ir
1 4 1
Direct
0.000 0.000 0.000
0.333 0.667 0.281
0.333 0.667 0.719
0.667 0.333 0.281
0.667 0.333 0.719
0.000 0.000 0.500
```

---

Entry 5:
Below is a geometry-optimized KAgB4 structure, with properties calculated at the GGA-PBE level.

Values from the calculation:
Crystal system: hexagonal

The structure in POSCAR format:
```
KAgB4
1.0
3.072 0.000 0.000
-1.536 2.660 0.000
0.000 0.000 8.750
K Ag B
1 1 4
Direct
0.000 0.000 0.000
0.000 0.000 0.500
0.333 0.667 0.282
0.333 0.667 0.718
0.667 0.333 0.282
0.667 0.333 0.718
```

---

Entry 6:
Below is a geometry-optimized KAgB4 structure, with properties calculated at the GGA-PBE level.

Values from the calculation:
Crystal system: orthorhombic

The structure in POSCAR format:
```
KAgB4
1.0
-1.337 2.868 4.759
1.337 -2.868 4.759
1.337 2.868 -4.759
K Ag B
1 1 4
Direct
0.000 0.000 0.000
0.500 0.500 0.000
0.114 0.761 0.353
0.409 0.761 0.647
0.591 0.239 0.353
0.886 0.239 0.647
```

---

Entry 7:
Below is a geometry-optimized KAg2BO3 structure, with properties calculated at the GGA-PBE level.

Values from the calculation:
Crystal system: orthorhombic

The structure in POSCAR format:
```
KAg2BO3
1.0
5.475 0.000 0.000
0.000 6.239 0.000
0.000 0.000 5.875
K Ag B O
2 4 2 6
Direct
0.250 0.250 0.088
0.750 0.750 0.912
0.250 0.523 0.604
0.250 0.977 0.604
0.750 0.023 0.396
0.750 0.477 0.396
0.250 0.750 0.175
0.750 0.250 0.825
0.032 0.750 0.301
0.250 0.750 0.943
0.468 0.750 0.301
0.532 0.250 0.699
0.750 0.250 0.057
0.968 0.250 0.699
```

---

Entry 8:
Below is a geometry-optimized K2AgBO3 structure, with properties calculated at the GGA-PBE level.

Values from the calculation:
Crystal system: monoclinic

The structure in POSCAR format:
```
K2AgBO3
1.0
4.466 -3.132 0.000
4.466 3.132 0.000
-1.782 0.000 7.601
K Ag B O
4 2 2 6
Direct
0.000 0.000 0.000
0.075 0.574 0.355
0.426 0.925 0.645
0.782 0.218 0.500
0.421 0.318 0.070
0.682 0.579 0.930
0.158 0.526 0.742
0.474 0.842 0.258
0.098 0.367 0.843
0.262 0.035 0.321
0.416 0.448 0.702
0.552 0.584 0.298
0.633 0.902 0.157
0.965 0.738 0.679
```

---

Quick rundown of total energy, same order as above: -0.2148, -0.1710, -0.1618, -0.2173, -0.1699, -0.1681, -0.1914, -0.1974 hartree per atom